The following is a DFT calculation (GGA-PBE) of crystalline Li3Ce2In4 at its relaxed geometry.

abc: 5.0482 5.2894 9.4025
angles: 78.86 90.00 61.50
With the nearest neighbours (Å) after each atom.
Atoms (fractional coordinates):
Li (0.3828, 0.2343, 0.4124)  1 Li 2.43
Li (0.0000, 0.0000, 0.0000)  8 In 3.11-3.49
Li (0.6172, 0.7657, 0.5876)  1 Li 2.43
Ce (0.2888, 0.4224, 0.7562)  7 In 3.18-3.34, 3 Li 3.21-3.53
Ce (0.7112, 0.5776, 0.2438)  7 In 3.18-3.34, 3 Li 3.21-3.53
In (0.6450, 0.7102, 0.8972)  3 Li 2.87-3.11, 1 Ce 3.18
In (0.0746, 0.8508, 0.3799)  3 Li 2.81-3.14, 1 In 2.90
In (0.9254, 0.1492, 0.6201)  3 Li 2.81-3.14, 1 In 2.90
In (0.3550, 0.2898, 0.1028)  3 Li 2.87-3.11, 1 Ce 3.18

SG	No. 12
crystal system	monoclinic
formation enthalpy at 0 K	-6.37	kcal/mol of atoms